No. 1
Density functional theory data (PBE) for a geometry-optimized SrBeFe2 structure.

## Properties
Magnetization: 9.4 Bohr magnetons per cell
Calculated density: 5.217 Mg/m³
Crystal system: orthorhombic
SG: Immm, No. 71

a = 2.8330 Å, b = 5.0678 Å, c = 9.2373 Å
α = 90.00°, β = 90.00°, γ = 90.00°
Closest atoms and distances in Å follow each position.
Positions (direct):
Sr (0.0000, 0.0000, 0.0000)  2 Sr 2.83, 4 Be 2.90, 4 Fe 3.10
Sr (0.5000, 0.5000, 0.5000)  2 Sr 2.83, 4 Be 2.90, 4 Fe 3.10
Be (0.0000, 0.0000, 0.5000)  4 Fe 2.27
Be (0.5000, 0.5000, 0.0000)  4 Fe 2.27
Fe (0.0000, 0.5000, 0.1926)  2 Be 2.27
Fe (0.0000, 0.5000, 0.8074)  2 Be 2.27
Fe (0.5000, 0.0000, 0.3074)  2 Be 2.27
Fe (0.5000, 0.0000, 0.6926)  2 Be 2.27


No. 2
Density functional theory data (PBE) for a geometry-optimized SrBeFe2 structure.

## Properties
Magnetization: 4.1 Bohr magnetons per cell
Calculated density: 5.370 Mg/m³
Crystal system: tetragonal
SG: P4/mmm, No. 123

a = 3.0867 Å, b = 3.0867 Å, c = 6.7607 Å
α = 90.00°, β = 90.00°, γ = 90.00°
Closest atoms and distances in Å follow each position.
Positions (direct):
Sr (0.0000, 0.0000, 0.0000)  4 Sr 3.09, 8 Fe 3.18, 2 Be 3.38
Be (0.0000, 0.0000, 0.5000)  8 Fe 2.43
Fe (0.5000, 0.5000, 0.3419)  1 Fe 2.14
Fe (0.5000, 0.5000, 0.6581)  1 Fe 2.14


No. 3
Density functional theory data (PBE) for a geometry-optimized SrBe2Fe structure.

## Properties
Magnetization: 0.0 Bohr magnetons per cell
Calculated density: 4.264 Mg/m³
Offset from the most stable computed form: 764 meV/atom
Crystal system: cubic
SG: Fm-3m, No. 225

a = 6.3126 Å, b = 6.3126 Å, c = 6.3126 Å
α = 90.00°, β = 90.00°, γ = 90.00°
Closest atoms and distances in Å follow each position.
Positions (direct):
Sr (0.0000, 0.0000, 0.0000)  8 Be 2.73
Sr (0.0000, 0.5000, 0.5000)  8 Be 2.73
Sr (0.5000, 0.0000, 0.5000)  8 Be 2.73
Sr (0.5000, 0.5000, 0.0000)  8 Be 2.73
Be (0.2500, 0.2500, 0.2500)  4 Fe 2.73, 4 Sr 2.73
Be (0.2500, 0.2500, 0.7500)  4 Fe 2.73, 4 Sr 2.73
Be (0.2500, 0.7500, 0.2500)  4 Fe 2.73, 4 Sr 2.73
Be (0.2500, 0.7500, 0.7500)  4 Fe 2.73, 4 Sr 2.73
Be (0.7500, 0.2500, 0.2500)  4 Fe 2.73, 4 Sr 2.73
Be (0.7500, 0.2500, 0.7500)  4 Fe 2.73, 4 Sr 2.73
Be (0.7500, 0.7500, 0.2500)  4 Fe 2.73, 4 Sr 2.73
Be (0.7500, 0.7500, 0.7500)  4 Fe 2.73, 4 Sr 2.73
Fe (0.0000, 0.0000, 0.5000)  8 Be 2.73
Fe (0.0000, 0.5000, 0.0000)  8 Be 2.73
Fe (0.5000, 0.0000, 0.0000)  8 Be 2.73
Fe (0.5000, 0.5000, 0.5000)  8 Be 2.73


No. 4
Density functional theory data (PBE) for a geometry-optimized SrBe3Fe structure.

## Properties
Magnetization: 0.0 Bohr magnetons per cell
Calculated density: 2.352 Mg/m³
Offset from the most stable computed form: 2554 meV/atom
Crystal system: cubic
SG: Pm-3m, No. 221

a = 4.9376 Å, b = 4.9376 Å, c = 4.9376 Å
α = 90.00°, β = 90.00°, γ = 90.00°
Closest atoms and distances in Å follow each position.
Positions (direct):
Sr (0.0000, 0.0000, 0.0000)  6 Be 2.47
Be (0.0000, 0.0000, 0.5000)  2 Sr 2.47
Be (0.0000, 0.5000, 0.0000)  2 Sr 2.47
Be (0.5000, 0.0000, 0.0000)  2 Sr 2.47
Fe (0.5000, 0.5000, 0.5000)  12 Be 3.49


No. 5
Density functional theory data (PBE) for a geometry-optimized SrBe3Fe structure.

## Properties
Magnetization: 0.0 Bohr magnetons per cell
Calculated density: 3.660 Mg/m³
Offset from the most stable computed form: 0 meV/atom
Crystal system: cubic
SG: Pm-3m, No. 221

a = 4.2610 Å, b = 4.2610 Å, c = 4.2610 Å
α = 90.00°, β = 90.00°, γ = 90.00°
Closest atoms and distances in Å follow each position.
Positions (direct):
Sr (0.0000, 0.0000, 0.0000)  12 Be 3.01
Be (0.0000, 0.5000, 0.5000)  2 Fe 2.13
Be (0.5000, 0.0000, 0.5000)  2 Fe 2.13
Be (0.5000, 0.5000, 0.0000)  2 Fe 2.13
Fe (0.5000, 0.5000, 0.5000)  6 Be 2.13


No. 6
Density functional theory data (PBE) for a geometry-optimized SrBe2Fe structure.

## Properties
Magnetization: 5.1 Bohr magnetons per cell
Calculated density: 3.914 Mg/m³
Offset from the most stable computed form: 779 meV/atom
Crystal system: tetragonal
SG: I-4m2, No. 119

a = 4.3042 Å, b = 4.3042 Å, c = 7.3969 Å
α = 90.00°, β = 90.00°, γ = 90.00°
Closest atoms and distances in Å follow each position.
Positions (direct):
Sr (0.0000, 0.0000, 0.0000)  4 Fe 2.84, 8 Be 2.84-3.04
Sr (0.5000, 0.5000, 0.5000)  4 Fe 2.84, 8 Be 2.84-3.04
Be (0.0000, 0.0000, 0.5000)  4 Fe 2.84, 4 Be 2.84, 4 Sr 3.04
Be (0.0000, 0.5000, 0.7500)  4 Be 2.84, 4 Sr 2.84, 4 Fe 3.04
Be (0.5000, 0.0000, 0.2500)  4 Be 2.84, 4 Sr 2.84, 4 Fe 3.04
Be (0.5000, 0.5000, 0.0000)  4 Fe 2.84, 4 Be 2.84, 4 Sr 3.04
Fe (0.0000, 0.5000, 0.2500)  8 Be 2.84-3.04, 4 Sr 2.84
Fe (0.5000, 0.0000, 0.7500)  8 Be 2.84-3.04, 4 Sr 2.84


No. 7
Density functional theory data (PBE) for a geometry-optimized SrBe2Fe structure.

## Properties
Magnetization: 0.2 Bohr magnetons per cell
Calculated density: 4.246 Mg/m³
Offset from the most stable computed form: 380 meV/atom
Crystal system: tetragonal
SG: P4mm, No. 99

a = 3.0788 Å, b = 3.0788 Å, c = 6.6625 Å
α = 90.00°, β = 90.00°, γ = 90.00°
Closest atoms and distances in Å follow each position.
Positions (direct):
Sr (0.0000, 0.0000, 0.0000)  5 Be 2.97-3.21, 4 Sr 3.08, 4 Fe 3.18
Be (0.0000, 0.0000, 0.5541)  4 Fe 2.27
Be (0.5000, 0.5000, 0.3542)  1 Fe 1.98
Fe (0.5000, 0.5000, 0.6521)  1 Be 1.98


No. 8
Density functional theory data (PBE) for a geometry-optimized SrBeFe2 structure.

## Properties
Magnetization: 4.6 Bohr magnetons per cell
Calculated density: 4.768 Mg/m³
Crystal system: monoclinic
SG: P2/m, No. 10

a = 3.1729 Å, b = 3.8238 Å, c = 6.1523 Å
α = 90.00°, β = 103.57°, γ = 90.00°
Closest atoms and distances in Å follow each position.
Positions (direct):
Sr (0.0000, 0.0000, 0.0000)  2 Be 3.11, 2 Sr 3.17, 8 Fe 3.24-3.36
Be (0.5000, 0.0000, 0.5000)  4 Fe 2.25
Fe (0.2970, 0.5000, 0.6374)  2 Fe 2.22-2.35, 2 Be 2.25
Fe (0.7030, 0.5000, 0.3626)  2 Fe 2.22-2.35, 2 Be 2.25


No. 9
Density functional theory data (PBE) for a geometry-optimized SrBeFe2 structure.

## Properties
Magnetization: 9.4 Bohr magnetons per cell
Calculated density: 4.927 Mg/m³
Crystal system: orthorhombic
SG: Imm2, No. 44

a = 3.0132 Å, b = 5.1020 Å, c = 9.1336 Å
α = 90.00°, β = 90.00°, γ = 90.00°
Closest atoms and distances in Å follow each position.
Positions (direct):
Sr (0.0000, 0.0000, 0.0000)  8 Fe 2.96-3.15, 2 Sr 3.01, 4 Be 3.13-3.15
Sr (0.5000, 0.5000, 0.5000)  8 Fe 2.96-3.15, 2 Sr 3.01, 4 Be 3.13-3.15
Be (0.0000, 0.5000, 0.8023)  2 Fe 2.31
Be (0.5000, 0.0000, 0.3023)  2 Fe 2.31
Fe (0.0000, 0.0000, 0.4935)  2 Be 2.31, 2 Fe 2.39
Fe (0.0000, 0.5000, 0.1969)  2 Fe 2.39
Fe (0.5000, 0.0000, 0.6969)  2 Fe 2.39
Fe (0.5000, 0.5000, 0.9935)  2 Be 2.31, 2 Fe 2.39


No. 10
Density functional theory data (PBE) for a geometry-optimized SrBe2Fe structure.

## Properties
Magnetization: 1.6 Bohr magnetons per cell
Calculated density: 3.973 Mg/m³
Offset from the most stable computed form: 231 meV/atom
Crystal system: monoclinic
SG: Pm, No. 6

a = 3.2292 Å, b = 3.5162 Å, c = 6.1231 Å
α = 90.00°, β = 103.88°, γ = 90.00°
Closest atoms and distances in Å follow each position.
Positions (direct):
Sr (0.0000, 0.0000, 0.0000)  5 Be 2.89-3.07, 2 Sr 3.23
Be (0.6496, 0.5000, 0.3243)  2 Be 2.09, 2 Fe 2.14-2.15
Be (0.7308, 0.0000, 0.5140)  2 Be 2.09
Fe (0.2598, 0.5000, 0.5625)  4 Be 2.14-2.39


Number 1: calculated formation energy 0.721 eV/atom. Number 2: calculated formation energy 0.533 eV/atom. Number 3: calculated formation energy 0.970 eV/atom. Number 4: calculated formation energy 2.895 eV/atom. Number 5: calculated formation energy 0.342 eV/atom. Number 6: calculated formation energy 0.986 eV/atom. Number 7: calculated formation energy 0.587 eV/atom. Number 8: calculated formation energy 0.535 eV/atom. Number 9: calculated formation energy 0.761 eV/atom. Number 10: calculated formation energy 0.437 eV/atom.